This record from the Open Quantum Materials Database describes a geometry-optimized LaGdTl structure. The functional is PBE-GGA.

## Properties
distance to the lowest polymorph of the same formula = 0 meV per atom
space group = No. 216
uncorrected energy = -4.046 eV/atom
total magnetization = 3.8 μB per cell

abc: 7.5306 7.5306 7.5306
angles: 90.00 90.00 90.00
Closest atoms and distances in Å follow each position.
Atoms (fractional coordinates):
La: 0.0000 0.0000 0.0000  4 Tl 3.26
La: 0.0000 0.5000 0.5000  4 Tl 3.26
La: 0.5000 0.0000 0.5000  4 Tl 3.26
La: 0.5000 0.5000 0.0000  4 Tl 3.26
Gd: 0.0000 0.0000 0.5000  4 Tl 3.26
Gd: 0.0000 0.5000 0.0000  4 Tl 3.26
Gd: 0.5000 0.0000 0.0000  4 Tl 3.26
Gd: 0.5000 0.5000 0.5000  4 Tl 3.26
Tl: 0.2500 0.2500 0.7500  4 Gd 3.26, 4 La 3.26
Tl: 0.2500 0.7500 0.2500  4 Gd 3.26, 4 La 3.26
Tl: 0.7500 0.2500 0.2500  4 Gd 3.26, 4 La 3.26
Tl: 0.7500 0.7500 0.7500  4 Gd 3.26, 4 La 3.26